Entry 1:
A relaxed ZrGePO2 crystal, computed with PBE-GGA.

Unit cell a=4.0385 b=4.0385 c=5.5543 alpha=90.00 beta=90.00 gamma=90.00
With the nearest neighbours (Å) after each atom.
Element x y z (fractional)
O1 0.5000 0.0000 0.0000  2 Zr 2.02
O2 0.0000 0.5000 0.0000  2 Zr 2.02
Ge1 0.5000 0.5000 0.5000  4 P 2.86
Zr1 0.0000 0.0000 0.0000  4 O 2.02
P1 0.0000 0.0000 0.5000  2 Zr 2.78, 4 Ge 2.86

## Properties
**Calculated volume**: 18.1 Å³ per atom
**Crystal system**: tetragonal
**DFT total energy**: -6.9523 eV/atom
**Space group**: No. 123
**E above lowest polymorph**: 0.0 meV/atom


Entry 2:
A relaxed PaGeO2 crystal, computed with PBE-GGA.

Unit cell a=3.7572 b=3.7572 c=6.5264 alpha=73.27 beta=73.27 gamma=60.00
With the nearest neighbours (Å) after each atom.
Element x y z (fractional)
O1 0.1086 0.1086 0.6742  1 Pa 2.01
O2 0.8914 0.8914 0.3258  1 Pa 2.01
Pa1 0.0000 0.0000 0.0000  2 O 2.01
Ge1 0.5000 0.5000 0.5000  6 O 2.42

## Properties
**Calculated volume**: 18.8 Å³ per atom
**Crystal system**: trigonal
**DFT total energy**: -7.4156 eV/atom
**Space group**: No. 166


Entry 3:
A relaxed PaGeO4 crystal, computed with PBE-GGA.

Unit cell a=5.1670 b=5.1670 c=9.5816 alpha=90.00 beta=90.00 gamma=90.00
With the nearest neighbours (Å) after each atom.
Element x y z (fractional)
O1 0.7127 0.1655 0.6349  1 Ge 1.78
O2 0.7127 0.8345 0.8651  1 Ge 1.78
O3 0.1655 0.7127 0.1349  1 Ge 1.78
O4 0.1655 0.2873 0.3651  1 Ge 1.78
O5 0.8345 0.7127 0.3651  1 Ge 1.78
O6 0.2873 0.1655 0.8651  1 Ge 1.78
O7 0.8345 0.2873 0.1349  1 Ge 1.78
O8 0.2873 0.8345 0.6349  1 Ge 1.78
Pa1 0.0000 0.0000 0.5000  4 O 2.15
Pa2 0.0000 0.0000 0.0000  4 O 2.15
Ge1 0.5000 0.0000 0.7500  4 O 1.78
Ge2 0.0000 0.5000 0.2500  4 O 1.78

## Properties
**Calculated volume**: 21.3 Å³ per atom
**Crystal system**: tetragonal
**DFT total energy**: -7.8646 eV/atom
**Space group**: No. 112
**E above lowest polymorph**: 135.7 meV/atom


Entry 4:
A relaxed PaGe2O6 crystal, computed with PBE-GGA.

Unit cell a=4.9819 b=5.0119 c=5.0118 alpha=120.00 beta=90.00 gamma=90.00
With the nearest neighbours (Å) after each atom.
Element x y z (fractional)
O1 0.7145 0.3661 0.0000  2 Ge 1.92
O2 0.2855 0.3661 0.3661  2 Ge 1.92
O3 0.7145 0.6339 0.6339  2 Ge 1.92
O4 0.2855 0.0000 0.6339  2 Ge 1.92
O5 0.7145 0.0000 0.3661  2 Ge 1.92
O6 0.2855 0.6339 0.0000  2 Ge 1.92
Ge1 0.5000 0.6667 0.3333  6 O 1.92
Ge2 0.5000 0.3333 0.6667  6 O 1.92
Pa1 0.0000 0.0000 0.0000  6 O 2.32

## Properties
**Calculated volume**: 12.0 Å³ per atom
**Crystal system**: trigonal
**DFT total energy**: -7.6220 eV/atom
**Space group**: No. 162